(1)
Density functional theory data (GGA-PBEsol) for a relaxed structure of Ba2LaPt.

a b c (Å): 4.500 4.500 6.039
angles (deg): 90.00 90.00 90.00
Positions (direct):
Ba1 0.000 0.500 0.000
Ba2 0.500 0.000 0.000
La1 0.000 0.000 0.500
Pt1 0.500 0.500 0.500

Results
Its polymorph energy (0 for the lowest one) is 382.4 meV/atom. Its space group is P4/mmm.



(2)
Density functional theory data (GGA-PBEsol) for a relaxed structure of CrRu2Pb.

a b c (Å): 4.830 4.830 4.664
angles (deg): 106.88 106.88 36.40
Positions (direct):
Cr1 0.000 0.000 0.000
Ru1 0.489 0.489 0.418
Ru2 0.725 0.725 0.111
Pb1 0.249 0.249 0.640

Results
The total energy is -8.116 eV/atom. Its space group is Cm.